## A
# BaScZnAu GGA-PBE relaxed
# Crystal system = cubic
data_BaScZnAu
_chemical_formula_sum 'Ba4 Sc4 Zn4 Au4'
_symmetry_space_group_name_H-M 'F -4 3 m'
_symmetry_Int_Tables_number 216
_symmetry_space_group_name_Hall 'F -4 2 3'
_cell_length_a 7.489
_cell_length_b 7.489
_cell_length_c 7.489
_cell_angle_alpha 90.00
_cell_angle_beta 90.00
_cell_angle_gamma 90.00
loop_
_atom_site_label
_atom_site_fract_x
_atom_site_fract_y
_atom_site_fract_z
_atom_site_occupancy
Ba1 0.000 0.000 0.000 1
Sc1 0.000 0.000 0.500 1
Zn1 0.250 0.250 0.750 1
Au1 0.250 0.250 0.250 1

## B
# BaScZnAu GGA-PBE relaxed
# Crystal system = cubic
data_BaScZnAu
_chemical_formula_sum 'Ba4 Sc4 Zn4 Au4'
_symmetry_space_group_name_H-M 'F -4 3 m'
_symmetry_Int_Tables_number 216
_symmetry_space_group_name_Hall 'F -4 2 3'
_cell_length_a 7.170
_cell_length_b 7.170
_cell_length_c 7.170
_cell_angle_alpha 90.00
_cell_angle_beta 90.00
_cell_angle_gamma 90.00
loop_
_atom_site_label
_atom_site_fract_x
_atom_site_fract_y
_atom_site_fract_z
_atom_site_occupancy
Ba1 0.000 0.000 0.000 1
Sc1 0.250 0.250 0.750 1
Zn1 0.250 0.250 0.250 1
Au1 0.000 0.000 0.500 1

Most stable: A. Least stable: B.

## A
# BaSiAu3 GGA-PBE relaxed
# Crystal system = tetragonal
data_BaSiAu3
_chemical_formula_sum 'Ba2 Si2 Au6'
_symmetry_space_group_name_H-M 'I 4 m m'
_symmetry_Int_Tables_number 107
_symmetry_space_group_name_Hall 'I 4 -2'
_cell_length_a 4.748
_cell_length_b 4.748
_cell_length_c 10.323
_cell_angle_alpha 90.00
_cell_angle_beta 90.00
_cell_angle_gamma 90.00
loop_
_atom_site_label
_atom_site_fract_x
_atom_site_fract_y
_atom_site_fract_z
_atom_site_occupancy
Ba1 0.000 0.000 0.000 1
Si1 0.000 0.000 0.348 1
Au1 0.000 0.000 0.588 1
Au2 0.000 0.500 0.261 1

## B
# BaSiAu3 GGA-PBE relaxed
# Crystal system = orthorhombic
data_BaSiAu3
_chemical_formula_sum 'Ba4 Si4 Au12'
_symmetry_space_group_name_H-M 'A e m 2'
_symmetry_Int_Tables_number 39
_cell_length_a 5.363
_cell_length_b 9.357
_cell_length_c 9.355
_cell_angle_alpha 90.00
_cell_angle_beta 90.00
_cell_angle_gamma 90.00
loop_
_symmetry_equiv_pos_as_xyz
'x,y,z'
'-x,-y,z'
'-x,y+1/2,z'
'x,-y+1/2,z'
'x,y+1/2,z+1/2'
'-x,-y+1/2,z+1/2'
'-x,y,z+1/2'
'x,-y,z+1/2'
loop_
_atom_site_label
_atom_site_fract_x
_atom_site_fract_y
_atom_site_fract_z
_atom_site_occupancy
Ba1 0.000 0.000 0.000 1
Si1 0.309 0.250 0.251 1
Au1 0.151 0.250 0.751 1
Au2 0.500 0.000 0.249 1
Au3 0.500 0.250 0.001 1

## C
# BaSiAu3 GGA-PBE relaxed
# Crystal system = cubic
data_BaSiAu3
_chemical_formula_sum 'Ba1 Si1 Au3'
_symmetry_space_group_name_H-M 'P m -3 m'
_symmetry_Int_Tables_number 221
_symmetry_space_group_name_Hall '-P 4 2 3'
_cell_length_a 5.004
_cell_length_b 5.004
_cell_length_c 5.004
_cell_angle_alpha 90.00
_cell_angle_beta 90.00
_cell_angle_gamma 90.00
loop_
_atom_site_label
_atom_site_fract_x
_atom_site_fract_y
_atom_site_fract_z
_atom_site_occupancy
Ba1 0.000 0.000 0.000 1
Si1 0.500 0.500 0.500 1
Au1 0.000 0.500 0.500 1

Most stable: B. Least stable: C.

## A
# BaSrYAu GGA-PBE relaxed
# Crystal system = cubic
data_BaSrYAu
_chemical_formula_sum 'Ba4 Sr4 Y4 Au4'
_symmetry_space_group_name_H-M 'F -4 3 m'
_symmetry_Int_Tables_number 216
_symmetry_space_group_name_Hall 'F -4 2 3'
_cell_length_a 7.881
_cell_length_b 7.881
_cell_length_c 7.881
_cell_angle_alpha 90.00
_cell_angle_beta 90.00
_cell_angle_gamma 90.00
loop_
_atom_site_label
_atom_site_fract_x
_atom_site_fract_y
_atom_site_fract_z
_atom_site_occupancy
Ba1 0.000 0.000 0.000 1
Sr1 0.250 0.250 0.750 1
Y1 0.250 0.250 0.250 1
Au1 0.000 0.000 0.500 1

## B
# BaSrYAu GGA-PBE relaxed
# Crystal system = cubic
data_BaSrYAu
_chemical_formula_sum 'Ba4 Sr4 Y4 Au4'
_symmetry_space_group_name_H-M 'F -4 3 m'
_symmetry_Int_Tables_number 216
_symmetry_space_group_name_Hall 'F -4 2 3'
_cell_length_a 8.205
_cell_length_b 8.205
_cell_length_c 8.205
_cell_angle_alpha 90.00
_cell_angle_beta 90.00
_cell_angle_gamma 90.00
loop_
_atom_site_label
_atom_site_fract_x
_atom_site_fract_y
_atom_site_fract_z
_atom_site_occupancy
Ba1 0.000 0.000 0.000 1
Sr1 0.000 0.000 0.500 1
Y1 0.250 0.250 0.750 1
Au1 0.250 0.250 0.250 1

Most stable: A. Least stable: B.

## A
# BaTlZnAu GGA-PBE relaxed
# Crystal system = cubic
data_BaTlZnAu
_chemical_formula_sum 'Ba4 Tl4 Zn4 Au4'
_symmetry_space_group_name_H-M 'F -4 3 m'
_symmetry_Int_Tables_number 216
_symmetry_space_group_name_Hall 'F -4 2 3'
_cell_length_a 7.647
_cell_length_b 7.647
_cell_length_c 7.647
_cell_angle_alpha 90.00
_cell_angle_beta 90.00
_cell_angle_gamma 90.00
loop_
_atom_site_label
_atom_site_fract_x
_atom_site_fract_y
_atom_site_fract_z
_atom_site_occupancy
Ba1 0.000 0.000 0.000 1
Tl1 0.250 0.250 0.250 1
Zn1 0.000 0.000 0.500 1
Au1 0.250 0.250 0.750 1

## B
# BaTlZnAu GGA-PBE relaxed
# Crystal system = cubic
data_BaTlZnAu
_chemical_formula_sum 'Ba4 Tl4 Zn4 Au4'
_symmetry_space_group_name_H-M 'F -4 3 m'
_symmetry_Int_Tables_number 216
_symmetry_space_group_name_Hall 'F -4 2 3'
_cell_length_a 7.537
_cell_length_b 7.537
_cell_length_c 7.537
_cell_angle_alpha 90.00
_cell_angle_beta 90.00
_cell_angle_gamma 90.00
loop_
_atom_site_label
_atom_site_fract_x
_atom_site_fract_y
_atom_site_fract_z
_atom_site_occupancy
Ba1 0.000 0.000 0.000 1
Tl1 0.250 0.250 0.750 1
Zn1 0.250 0.250 0.250 1
Au1 0.000 0.000 0.500 1

## C
# BaTlZnAu GGA-PBE relaxed
# Crystal system = cubic
data_BaTlZnAu
_chemical_formula_sum 'Ba4 Tl4 Zn4 Au4'
_symmetry_space_group_name_H-M 'F -4 3 m'
_symmetry_Int_Tables_number 216
_symmetry_space_group_name_Hall 'F -4 2 3'
_cell_length_a 7.624
_cell_length_b 7.624
_cell_length_c 7.624
_cell_angle_alpha 90.00
_cell_angle_beta 90.00
_cell_angle_gamma 90.00
loop_
_atom_site_label
_atom_site_fract_x
_atom_site_fract_y
_atom_site_fract_z
_atom_site_occupancy
Ba1 0.000 0.000 0.000 1
Tl1 0.000 0.000 0.500 1
Zn1 0.250 0.250 0.750 1
Au1 0.250 0.250 0.250 1

Most stable: C. Least stable: B.

## A
# LaBeCdAu GGA-PBE relaxed
# Crystal system = cubic
data_LaBeCdAu
_chemical_formula_sum 'La4 Be4 Cd4 Au4'
_symmetry_space_group_name_H-M 'F -4 3 m'
_symmetry_Int_Tables_number 216
_symmetry_space_group_name_Hall 'F -4 2 3'
_cell_length_a 7.045
_cell_length_b 7.045
_cell_length_c 7.045
_cell_angle_alpha 90.00
_cell_angle_beta 90.00
_cell_angle_gamma 90.00
loop_
_atom_site_label
_atom_site_fract_x
_atom_site_fract_y
_atom_site_fract_z
_atom_site_occupancy
La1 0.000 0.000 0.000 1
Be1 0.000 0.000 0.500 1
Cd1 0.250 0.250 0.250 1
Au1 0.250 0.250 0.750 1

## B
# LaBeCdAu GGA-PBE relaxed
# Crystal system = cubic
data_LaBeCdAu
_chemical_formula_sum 'La4 Be4 Cd4 Au4'
_symmetry_space_group_name_H-M 'F -4 3 m'
_symmetry_Int_Tables_number 216
_symmetry_space_group_name_Hall 'F -4 2 3'
_cell_length_a 7.006
_cell_length_b 7.006
_cell_length_c 7.006
_cell_angle_alpha 90.00
_cell_angle_beta 90.00
_cell_angle_gamma 90.00
loop_
_atom_site_label
_atom_site_fract_x
_atom_site_fract_y
_atom_site_fract_z
_atom_site_occupancy
La1 0.000 0.000 0.000 1
Be1 0.250 0.250 0.250 1
Cd1 0.000 0.000 0.500 1
Au1 0.250 0.250 0.750 1

Most stable: B. Least stable: A.

## A
# LuBeCdAu GGA-PBE relaxed
# Crystal system = cubic
data_LuBeCdAu
_chemical_formula_sum 'Lu4 Be4 Cd4 Au4'
_symmetry_space_group_name_H-M 'F -4 3 m'
_symmetry_Int_Tables_number 216
_symmetry_space_group_name_Hall 'F -4 2 3'
_cell_length_a 6.661
_cell_length_b 6.661
_cell_length_c 6.661
_cell_angle_alpha 90.00
_cell_angle_beta 90.00
_cell_angle_gamma 90.00
loop_
_atom_site_label
_atom_site_fract_x
_atom_site_fract_y
_atom_site_fract_z
_atom_site_occupancy
Lu1 0.000 0.000 0.000 1
Be1 0.000 0.000 0.500 1
Cd1 0.250 0.250 0.250 1
Au1 0.250 0.250 0.750 1

## B
# LuBeCdAu GGA-PBE relaxed
# Crystal system = cubic
data_LuBeCdAu
_chemical_formula_sum 'Lu4 Be4 Cd4 Au4'
_symmetry_space_group_name_H-M 'F -4 3 m'
_symmetry_Int_Tables_number 216
_symmetry_space_group_name_Hall 'F -4 2 3'
_cell_length_a 6.669
_cell_length_b 6.669
_cell_length_c 6.669
_cell_angle_alpha 90.00
_cell_angle_beta 90.00
_cell_angle_gamma 90.00
loop_
_atom_site_label
_atom_site_fract_x
_atom_site_fract_y
_atom_site_fract_z
_atom_site_occupancy
Lu1 0.000 0.000 0.000 1
Be1 0.250 0.250 0.250 1
Cd1 0.000 0.000 0.500 1
Au1 0.250 0.250 0.750 1

Most stable: B. Least stable: A.

## A
# BeCoGeAu GGA-PBE relaxed
# Crystal system = cubic
data_BeCoGeAu
_chemical_formula_sum 'Be4 Co4 Ge4 Au4'
_symmetry_space_group_name_H-M 'F -4 3 m'
_symmetry_Int_Tables_number 216
_symmetry_space_group_name_Hall 'F -4 2 3'
_cell_length_a 5.964
_cell_length_b 5.964
_cell_length_c 5.964
_cell_angle_alpha 90.00
_cell_angle_beta 90.00
_cell_angle_gamma 90.00
loop_
_atom_site_label
_atom_site_fract_x
_atom_site_fract_y
_atom_site_fract_z
_atom_site_occupancy
Be1 0.000 0.000 0.000 1
Co1 0.250 0.250 0.750 1
Ge1 0.000 0.000 0.500 1
Au1 0.250 0.250 0.250 1

## B
# BeCoGeAu GGA-PBE relaxed
# Crystal system = cubic
data_BeCoGeAu
_chemical_formula_sum 'Be4 Co4 Ge4 Au4'
_symmetry_space_group_name_H-M 'F -4 3 m'
_symmetry_Int_Tables_number 216
_symmetry_space_group_name_Hall 'F -4 2 3'
_cell_length_a 5.983
_cell_length_b 5.983
_cell_length_c 5.983
_cell_angle_alpha 90.00
_cell_angle_beta 90.00
_cell_angle_gamma 90.00
loop_
_atom_site_label
_atom_site_fract_x
_atom_site_fract_y
_atom_site_fract_z
_atom_site_occupancy
Be1 0.000 0.000 0.000 1
Co1 0.000 0.000 0.500 1
Ge1 0.250 0.250 0.250 1
Au1 0.250 0.250 0.750 1

Most stable: A. Least stable: B.